[1]
A relaxed BeCu6Si2 crystal, computed with PBE-GGA.

Cell lengths 8.9399, 4.2913, 6.8770 Å; angles 90.00, 125.94, 90.00 degrees
Space group C2/m (No. 12)
Symmetry-distinct sites (fractional):
Be: 0.0000 0.0000 0.0000 x2
Cu: 0.0514 0.5000 0.2145 x4
Cu: 0.1781 0.5000 0.6708 x4
Cu: 0.2055 0.0000 0.8815 x4
Si: 0.1153 0.0000 0.4464 x4

Properties
The formation energy without anion corrections comes out at 29 meV per atom.

[2]
A relaxed DyYTm crystal, computed with PBE-GGA.

Cell lengths 3.4536, 3.4689, 16.0722 Å; angles 90.00, 90.00, 90.00 degrees
Space group Pmmn (No. 59, origin choice 2)
Symmetry-distinct sites (fractional):
Dy: 0.2500 0.2500 0.2324 x2
Y: 0.2500 0.7500 0.4217 x2
Tm: 0.2500 0.2500 0.9214 x2

Properties
The value obtained for the formation energy is 0.152 eV per atom. The distance to the lowest polymorph of the same formula comes out at 126.8 meV/atom.

[3]
A relaxed YVIn2 crystal, computed with PBE-GGA.

Cell lengths 4.4040, 4.4040, 21.2827 Å; angles 90.00, 90.00, 90.00 degrees
Space group I-42d (No. 122)
Symmetry-distinct sites (fractional):
Y: 0.0000 0.0000 0.0000 x4
V: 0.0000 0.0000 0.5000 x4
In: 0.2300 0.2500 0.6250 x8

Properties
The value obtained for the formation energy is 0.354 eV per atom.

[4]
A relaxed PBrF2 crystal, computed with PBE-GGA.

Cell lengths 4.8138, 4.8138, 12.4524 Å; angles 90.00, 90.00, 90.00 degrees
Space group I-42d (No. 122)
Symmetry-distinct sites (fractional):
P: 0.0000 0.0000 0.0000 x4
Br: 0.0000 0.0000 0.5000 x4
F: 0.0011 0.2500 0.1250 x8

Properties
The formation energy without anion corrections comes out at -574 meV per atom. The distance to the lowest polymorph of the same formula comes out at 534.6 meV/atom.

Calculated total energy in eV/atom, matching the order above: -4.32, -5.03, -4.91, -3.28
Fermi-level density of states in states/eV/f.u., matching the order above: 2.4, 4.9, 3.7, 0.8